Record 1
A relaxed RbPd crystal. Source: Alexandria, functional GGA-PBE.

abc: 5.037 12.976 5.851
angles: 90.00 90.00 90.00
Space group Amm2 (No. 38)
Symmetry-distinct sites (fractional):
Rb 0.000 0.000 0.000 (multiplicity 2)
Rb 0.000 0.160 0.536 (multiplicity 4)
Pd 0.500 0.000 0.340 (multiplicity 2)
Pd 0.500 0.192 0.154 (multiplicity 4)

Theoretical density ... 5.0 g cm⁻³
Crystal system ... orthorhombic
Raw total energy ... -2.7809 eV/atom
ΔE_f ... 0.2993 eV/atom
DOS(E_F) ... 4.75 states/eV per cell
Total magnetization ... 0.00 μB/f.u.



Record 2
A relaxed LiMg3Ni2H8 crystal. Source: Alexandria, functional GGA-PBE.

abc: 4.7405 4.7405 6.2362
angles: 90.00 90.00 120.00
Space group P-3m1 (No. 164)
Symmetry-distinct sites (fractional):
Li 0.0000 0.0000 0.0000 (multiplicity 1)
Mg 0.0000 0.0000 0.5000 (multiplicity 1)
Mg 0.3333 0.6667 0.1839 (multiplicity 2)
Ni 0.3333 0.6667 0.7413 (multiplicity 2)
H 0.1487 0.2974 0.7782 (multiplicity 6)
H 0.3333 0.6667 0.4945 (multiplicity 2)

Theoretical density ... 2.8 g cm⁻³
Crystal system ... trigonal
Raw total energy ... -3.3540 eV/atom
DOS(E_F) ... 3.13 states/eV per cell
Total magnetization ... 0.00 μB/f.u.